a.
Cs2CdHgPd | GGA-PBE | relaxed

CIF file:
```
data_Cs2CdHgPd
_chemical_formula_sum 'Cs2 Cd1 Hg1 Pd1'
_symmetry_space_group_name_H-M 'P 4/m m m'
_symmetry_Int_Tables_number 123
_symmetry_space_group_name_Hall '-P 4 2'
_cell_length_a 6.711
_cell_length_b 6.711
_cell_length_c 5.329
_cell_angle_alpha 90.00
_cell_angle_beta 90.00
_cell_angle_gamma 90.00
loop_
_atom_site_label
_atom_site_type_symbol
_atom_site_fract_x
_atom_site_fract_y
_atom_site_fract_z
Cs1 Cs 0.000 0.500 0.000
Cd1 Cd 0.000 0.000 0.500
Hg1 Hg 0.500 0.500 0.500
Pd1 Pd 0.500 0.500 0.000
```

Output
Calculated volume = 240.0 Å³ per cell
Magnetization = 0.00 μB per atom

---

b.
Cs2CdHgPd | GGA-PBE | relaxed

CIF file:
```
data_Cs2CdHgPd
_chemical_formula_sum 'Cs2 Cd1 Hg1 Pd1'
_symmetry_space_group_name_H-M 'P 4/m m m'
_symmetry_Int_Tables_number 123
_symmetry_space_group_name_Hall '-P 4 2'
_cell_length_a 6.713
_cell_length_b 6.713
_cell_length_c 5.296
_cell_angle_alpha 90.00
_cell_angle_beta 90.00
_cell_angle_gamma 90.00
loop_
_atom_site_label
_atom_site_type_symbol
_atom_site_fract_x
_atom_site_fract_y
_atom_site_fract_z
Cs1 Cs 0.000 0.500 0.000
Cd1 Cd 0.000 0.000 0.500
Hg1 Hg 0.500 0.500 0.500
Pd1 Pd 0.000 0.000 0.000
```

Output
Calculated volume = 238.7 Å³ per cell
Magnetization = 0.00 μB per atom

---

Most favorable structure: b. The second most favorable one is 54 meV per atom above it.